Computed, not measured: a relaxed structure of LiSiMo at the PBE level of DFT.

Summary:
DOS(E_F), states/eV/f.u.: 1.05
Spin magnetization, μB per cell: 0.0
Formation energy (no corrections), kJ per mole of atoms: 12.2
ρ, kg/m³: 4761
Uncorrected energy, eV/atom: -5.9300

Unit cell a=2.8037 b=2.8037 c=6.7094 alpha=90.00 beta=90.00 gamma=120.00
Space group P3m1 (No. 156)
Inequivalent atoms, fractional coordinates:
1 Li 0.0000 0.0000 0.0000 [1 per cell]
2 Si 0.3333 0.6667 0.6731 [1 per cell]
3 Mo 0.6667 0.3333 0.3675 [1 per cell]